No. 1
A plane-wave DFT calculation with PBE-GGA was carried out for an optimized crystal structure of PmDyN.

Geometry as CIF:
```
data_PmDyN
_cell_length_a 6.1009
_cell_length_b 6.1009
_cell_length_c 6.1009
_cell_angle_alpha 90.00
_cell_angle_beta 90.00
_cell_angle_gamma 90.00
_space_group_name_H-M_alt 'F -4 3 m'
_space_group_IT_number 216
_space_group_name_Hall 'F -4 2 3'
loop_
_atom_site_label
_atom_site_type_symbol
_atom_site_fract_x
_atom_site_fract_y
_atom_site_fract_z
Pm1 Pm 0.0000 0.0000 0.0000
Dy1 Dy 0.0000 0.0000 0.5000
N1 N 0.2500 0.2500 0.7500
```

Calculated values
Excess energy over the best structure of this formula in the dataset, eV/f.u.: 1.93
Raw total energy, eV/cell: -74.6
Energy relative to the elements, uncorrected, eV per atom: -0.320

---

No. 2
A plane-wave DFT calculation with PBE-GGA was carried out for an optimized crystal structure of PmDy3N4.

Geometry as CIF:
```
data_PmDy3N4
_cell_length_a 4.9663
_cell_length_b 4.9663
_cell_length_c 4.9663
_cell_angle_alpha 90.00
_cell_angle_beta 90.00
_cell_angle_gamma 90.00
_space_group_name_H-M_alt 'P m -3 m'
_space_group_IT_number 221
_space_group_name_Hall '-P 4 2 3'
loop_
_atom_site_label
_atom_site_type_symbol
_atom_site_fract_x
_atom_site_fract_y
_atom_site_fract_z
Pm1 Pm 0.0000 0.0000 0.0000
Dy1 Dy 0.0000 0.5000 0.5000
N1 N 0.0000 0.0000 0.5000
N2 N 0.5000 0.5000 0.5000
```

Calculated values
Excess energy over the best structure of this formula in the dataset, eV/f.u.: 0.06
Raw total energy, eV/cell: -64.8
Energy relative to the elements, uncorrected, eV per atom: -1.618

---

No. 3
A plane-wave DFT calculation with PBE-GGA was carried out for an optimized crystal structure of Pm3DyN.

Geometry as CIF:
```
data_Pm3DyN
_cell_length_a 5.1045
_cell_length_b 5.1045
_cell_length_c 5.1045
_cell_angle_alpha 90.00
_cell_angle_beta 90.00
_cell_angle_gamma 90.00
_space_group_name_H-M_alt 'P m -3 m'
_space_group_IT_number 221
_space_group_name_Hall '-P 4 2 3'
loop_
_atom_site_label
_atom_site_type_symbol
_atom_site_fract_x
_atom_site_fract_y
_atom_site_fract_z
Pm1 Pm 0.0000 0.0000 0.5000
Dy1 Dy 0.5000 0.5000 0.5000
N1 N 0.0000 0.0000 0.0000
```

Calculated values
Raw total energy, eV/cell: -29.5
Energy relative to the elements, uncorrected, eV per atom: -0.468

---

No. 4
A plane-wave DFT calculation with PBE-GGA was carried out for an optimized crystal structure of Pm2DyN3.

Geometry as CIF:
```
data_Pm2DyN3
_cell_length_a 3.5720
_cell_length_b 3.5720
_cell_length_c 15.1487
_cell_angle_alpha 90.00
_cell_angle_beta 90.00
_cell_angle_gamma 90.00
_space_group_name_H-M_alt 'I 4/m m m'
_space_group_IT_number 139
_space_group_name_Hall '-I 4 2'
loop_
_atom_site_label
_atom_site_type_symbol
_atom_site_fract_x
_atom_site_fract_y
_atom_site_fract_z
Pm1 Pm 0.0000 0.0000 0.1644
Dy1 Dy 0.0000 0.0000 0.5000
N1 N 0.0000 0.0000 0.0000
N2 N 0.0000 0.0000 0.3376
```

Calculated values
Raw total energy, eV/cell: -96.3
Energy relative to the elements, uncorrected, eV per atom: -1.509

---

No. 5
A plane-wave DFT calculation with PBE-GGA was carried out for an optimized crystal structure of Pm4Dy2N.

Geometry as CIF:
```
data_Pm4Dy2N
_cell_length_a 4.9582
_cell_length_b 4.9582
_cell_length_c 17.6402
_cell_angle_alpha 90.00
_cell_angle_beta 90.00
_cell_angle_gamma 90.00
_space_group_name_H-M_alt 'I 4/m m m'
_space_group_IT_number 139
_space_group_name_Hall '-I 4 2'
loop_
_atom_site_label
_atom_site_type_symbol
_atom_site_fract_x
_atom_site_fract_y
_atom_site_fract_z
Pm1 Pm 0.0000 0.0000 0.1354
Pm2 Pm 0.0000 0.5000 0.0000
Dy1 Dy 0.0000 0.0000 0.3350
N1 N 0.0000 0.0000 0.0000
```

Calculated values
Raw total energy, eV/cell: -75.8
Energy relative to the elements, uncorrected, eV per atom: -0.199

---

No. 6
A plane-wave DFT calculation with PBE-GGA was carried out for an optimized crystal structure of Pm4DyN4.

Geometry as CIF:
```
data_Pm4DyN4
_cell_length_a 8.0454
_cell_length_b 8.0454
_cell_length_c 5.1155
_cell_angle_alpha 90.00
_cell_angle_beta 90.00
_cell_angle_gamma 90.00
_space_group_name_H-M_alt 'I 4/m'
_space_group_IT_number 87
_space_group_name_Hall '-I 4'
loop_
_atom_site_label
_atom_site_type_symbol
_atom_site_fract_x
_atom_site_fract_y
_atom_site_fract_z
Pm1 Pm 0.1101 0.6882 0.0000
Dy1 Dy 0.0000 0.0000 0.5000
N1 N 0.0947 0.7091 0.5000
```

Calculated values
Raw total energy, eV/cell: -137.4
Energy relative to the elements, uncorrected, eV per atom: -1.311

---

Computed values of DOS(E_F) (unit: states/eV/cell) for the preceding records, in sequence: 4.8, 0.8, 5.4, 1.3, 18.0, 6.8.